Record 1
Compound: YMgTc2
Source: Alexandria
Functional: PBE-GGA
Structure: optimized geometry

Cell lengths 5.6416, 5.6416, 4.8222 Å; angles 64.72, 64.72, 34.35 degrees
Sites, in units of the cell vectors:
Tc 0.7151 0.7151 0.7849
Tc 0.0282 0.0282 0.9718
Y 0.4869 0.4869 0.5131
Mg 0.2699 0.2699 0.2302

Properties
DOS at the Fermi energy	0.605	states/eV per atom
size of the total moment	0.000	Bohr magnetons per cell
ΔE_f	0.12	eV/atom
mass density	6.628	g/cm³

---

Record 2
Compound: YMg2Tc
Source: Alexandria
Functional: PBE-GGA
Structure: optimized geometry

Cell lengths 3.4088, 3.4628, 7.4216 Å; angles 90.00, 90.00, 90.00 degrees
Sites, in units of the cell vectors:
Mg 0.0000 0.0000 0.0403
Mg 0.5000 0.5000 0.2873
Y 0.5000 0.5000 0.6973
Tc 0.0000 0.0000 0.4751

Properties
DOS at the Fermi energy	1.062	states/eV per atom
relative energy among the computed polymorphs	44	meV per atom
size of the total moment	0.000	Bohr magnetons per cell
ΔE_f	0.13	eV/atom
mass density	4.464	g/cm³

---

Record 3
Compound: YMg2Tc
Source: Alexandria
Functional: PBE-GGA
Structure: optimized geometry

Cell lengths 9.7687, 9.7687, 9.7687 Å; angles 19.49, 19.49, 19.49 degrees
Sites, in units of the cell vectors:
Mg 0.2372 0.2372 0.2372
Mg 0.9970 0.9970 0.9970
Tc 0.5012 0.5012 0.5012
Y 0.7646 0.7646 0.7646

Properties
DOS at the Fermi energy	1.013	states/eV per atom
relative energy among the computed polymorphs	193	meV per atom
size of the total moment	0.000	Bohr magnetons per cell
ΔE_f	0.28	eV/atom
mass density	4.309	g/cm³

---

Record 4
Compound: YMg2Tc2
Source: Alexandria
Functional: PBE-GGA
Structure: optimized geometry

Cell lengths 4.2349, 4.2349, 6.6260 Å; angles 71.36, 71.36, 90.00 degrees
Sites, in units of the cell vectors:
Mg 0.2500 0.7500 0.5000
Mg 0.7500 0.2500 0.5000
Y 0.0000 0.0000 0.0000
Tc 0.5925 0.5925 0.8151
Tc 0.4075 0.4075 0.1849

Properties
DOS at the Fermi energy	1.178	states/eV per atom
relative energy among the computed polymorphs	61	meV per atom
size of the total moment	0.000	Bohr magnetons per cell
ΔE_f	0.29	eV/atom
mass density	5.224	g/cm³

---

Number 1: DFT total energy -0.5200 Ry per atom. Number 2: DFT total energy -0.3582 Ry per atom. Number 3: DFT total energy -0.3473 Ry per atom. Number 4: DFT total energy -0.4255 Ry per atom.